(a)
Density functional theory data (GGA-PBE) for crystalline BeHgCl2 at its relaxed geometry.

Geometry as POSCAR:
```
BeHgCl2
1.0
-0.784 -0.576 3.151
-0.716 -3.062 0.993
9.666 -2.327 2.987
Hg Be Cl
1 1 2
Cartesian
2.041 -1.491 1.783
6.124 -4.474 5.348
8.330 -2.247 2.852
5.418 -3.063 3.700
```

=====

(b)
Density functional theory data (GGA-PBE) for crystalline BeHgCl2 at its relaxed geometry.

Geometry as POSCAR:
```
BeHgCl2
1.0
5.887 -0.030 0.026
0.874 5.822 -0.026
-1.751 -4.799 2.928
Cl Be Hg
2 1 1
Cartesian
0.619 0.530 0.000
3.486 -1.200 1.477
1.163 1.883 1.451
3.124 2.676 0.000
```

=====

(c)
Density functional theory data (GGA-PBE) for crystalline BeHgCl2 at its relaxed geometry.

Geometry as POSCAR:
```
BeHgCl2
1.0
-1.642 -0.594 2.598
0.790 -3.023 -0.192
6.550 1.429 4.466
Hg Cl Be
1 2 1
Cartesian
3.408 0.743 2.324
1.419 -1.406 2.462
6.006 1.310 4.096
4.689 -0.693 4.691
```

=====

Relative to the most stable one, in meV/atom, the structures come out at (a) 0; (b) 377; (c) 855.

=====

(a)
Density functional theory data (GGA-PBE) for crystalline BeHgCl2 at its relaxed geometry.

Geometry as POSCAR:
```
BeHgCl2
1.0
3.088 0.000 0.000
0.000 4.531 -0.024
0.000 1.357 9.258
Cl Hg Be
2 1 1
Cartesian
0.000 5.127 8.195
0.000 3.706 5.657
1.544 1.472 2.309
1.544 4.416 6.926
```

=====

(b)
Density functional theory data (GGA-PBE) for crystalline BeHgCl2 at its relaxed geometry.

Geometry as POSCAR:
```
BeHgCl2
1.0
3.830 0.000 0.000
0.000 7.115 0.000
0.000 0.000 3.836
Cl Hg Be
2 1 1
Cartesian
1.915 3.557 0.000
0.000 0.000 0.000
1.915 0.000 1.918
0.000 3.557 1.918
```

=====

Relative to the most stable one, in meV/atom, the structures come out at (a) 0; (b) 1041.

=====

(a)
Density functional theory data (GGA-PBE) for crystalline BeHgCl2 at its relaxed geometry.

Geometry as POSCAR:
```
BeHgCl2
1.0
-0.608 6.542 1.685
-5.752 1.930 -3.033
3.561 -3.304 4.734
Cl Be Hg
2 1 1
Cartesian
-2.456 3.271 -0.520
-0.724 0.965 -0.153
-2.685 1.431 0.514
-0.113 3.737 2.872
```

=====

(b)
Density functional theory data (GGA-PBE) for crystalline BeHgCl2 at its relaxed geometry.

Geometry as POSCAR:
```
BeHgCl2
1.0
-0.741 -2.687 -2.164
4.591 0.100 -1.696
1.353 -3.171 3.475
Cl Be Hg
2 1 1
Cartesian
0.000 0.000 0.000
2.972 -1.536 0.889
0.306 -2.929 0.656
1.925 -1.293 -1.930
```

=====

(c)
Density functional theory data (GGA-PBE) for crystalline BeHgCl2 at its relaxed geometry.

Geometry as POSCAR:
```
BeHgCl2
1.0
1.904 0.000 10.807
-0.952 1.649 10.807
-0.952 -1.649 10.807
Cl Be Hg
2 1 1
Cartesian
0.000 0.000 28.268
0.000 0.000 4.153
0.000 0.000 16.210
0.000 0.000 0.000
```

=====

(d)
Density functional theory data (GGA-PBE) for crystalline BeHgCl2 at its relaxed geometry.

Geometry as POSCAR:
```
BeHgCl2
1.0
3.045 0.000 0.000
0.000 3.045 0.000
0.000 0.000 9.896
Be Hg Cl
1 1 2
Cartesian
1.523 1.523 7.422
1.523 1.523 2.474
0.000 0.000 6.004
0.000 0.000 8.840
```

=====

Relative to the most stable one, in meV/atom, the structures come out at (a) 63; (b) 1238; (c) 0; (d) 604.

=====

(a)
Density functional theory data (GGA-PBE) for crystalline BeHgCl2 at its relaxed geometry.

Geometry as POSCAR:
```
BeHgCl2
1.0
0.000 3.479 3.479
3.479 0.000 3.479
3.479 3.479 0.000
Cl Hg Be
2 1 1
Cartesian
5.218 5.218 5.218
1.739 1.739 1.739
3.479 3.479 3.479
0.000 0.000 0.000
```

=====

(b)
Density functional theory data (GGA-PBE) for crystalline BeHgCl2 at its relaxed geometry.

Geometry as POSCAR:
```
BeHgCl2
1.0
-1.937 -3.124 -2.792
4.113 1.973 0.710
2.056 -6.316 5.641
Hg Cl Be
1 2 1
Cartesian
1.095 -3.365 3.005
1.698 -2.449 0.631
1.872 -5.752 5.137
2.651 -5.377 3.246
```

=====

(c)
Density functional theory data (GGA-PBE) for crystalline BeHgCl2 at its relaxed geometry.

Geometry as POSCAR:
```
BeHgCl2
1.0
-2.114 4.659 4.269
-6.310 -1.317 -1.687
-4.444 -1.482 4.618
Cl Be Hg
4 2 2
Cartesian
-5.718 0.269 1.440
-9.512 2.062 6.042
-7.683 -0.107 4.113
-2.822 1.497 2.806
-4.212 1.671 1.291
-7.483 -0.564 2.111
-5.385 2.424 5.089
0.000 0.000 0.000
```

=====

Relative to the most stable one, in meV/atom, the structures come out at (a) 1248; (b) 465; (c) 0.

=====

(a)
Density functional theory data (GGA-PBE) for crystalline BeHgCl2 at its relaxed geometry.

Geometry as POSCAR:
```
BeHgCl2
1.0
2.600 0.000 10.530
-1.300 2.252 10.530
-1.300 -2.252 10.530
Be Cl Hg
1 2 1
Cartesian
0.000 0.000 0.000
0.000 0.000 29.798
0.000 0.000 1.792
0.000 0.000 15.795
```

=====

(b)
Density functional theory data (GGA-PBE) for crystalline BeHgCl2 at its relaxed geometry.

Geometry as POSCAR:
```
BeHgCl2
1.0
-6.489 3.354 -2.075
-7.091 0.721 2.620
7.515 0.198 1.074
Be Cl Hg
1 2 1
Cartesian
-2.882 2.795 -0.364
-3.183 1.478 1.983
0.000 0.000 0.000
-6.790 2.038 0.272
```

=====

(c)
Density functional theory data (GGA-PBE) for crystalline BeHgCl2 at its relaxed geometry.

Geometry as POSCAR:
```
BeHgCl2
1.0
6.583 -0.152 0.380
5.919 2.886 0.380
2.098 0.459 5.975
Hg Cl Be
1 2 1
Cartesian
6.899 1.509 3.040
3.437 0.752 0.997
3.156 0.690 5.358
8.409 1.839 0.709
```

=====

Relative to the most stable one, in meV/atom, the structures come out at (a) 15; (b) 1054; (c) 0.

=====

(a)
Density functional theory data (GGA-PBE) for crystalline BeHgCl2 at its relaxed geometry.

Geometry as POSCAR:
```
BeHgCl2
1.0
-2.824 2.992 0.925
-3.001 -4.879 4.076
0.498 1.033 4.068
Cl Be Hg
2 1 1
Cartesian
-2.912 -0.944 2.501
0.000 0.000 0.000
-1.252 -1.923 4.072
-1.163 2.013 2.496
```

=====

(b)
Density functional theory data (GGA-PBE) for crystalline BeHgCl2 at its relaxed geometry.

Geometry as POSCAR:
```
BeHgCl2
1.0
3.355 0.000 0.000
0.000 3.356 0.012
0.000 1.571 10.139
Be Hg Cl
1 1 2
Cartesian
1.678 2.698 0.035
0.000 2.763 5.002
1.678 1.014 1.222
0.000 4.271 8.980
```

=====

(c)
Density functional theory data (GGA-PBE) for crystalline BeHgCl2 at its relaxed geometry.

Geometry as POSCAR:
```
BeHgCl2
1.0
-0.520 2.986 2.857
-1.770 -1.061 -3.618
-7.090 -6.327 5.323
Hg Cl Be
1 2 1
Cartesian
-2.917 -0.619 0.950
-6.263 -5.589 4.702
-4.372 -3.902 3.283
-6.463 -3.783 3.612
```

=====

(d)
Density functional theory data (GGA-PBE) for crystalline BeHgCl2 at its relaxed geometry.

Geometry as POSCAR:
```
BeHgCl2
1.0
-1.376 3.881 -2.588
-4.660 0.538 -1.284
-2.708 3.468 2.071
Be Cl Hg
1 2 1
Cartesian
-4.372 3.944 -0.900
0.000 0.000 0.000
-2.186 1.972 -0.450
-6.558 5.915 -1.350
```

=====

Relative to the most stable one, in meV/atom, the structures come out at (a) 1220; (b) 0; (c) 244; (d) 1467.